TlHgPb2 | GGA-PBE | relaxed

* energy relative to the elements: 0.0033 eV/atom
* space-group type: R-3m

```
TlHgPb2
1.0
1.7144 0.9898 11.7100
-1.7144 0.9898 11.7100
0.0000 -1.9796 11.7100
Tl Hg Pb
1 1 2
Direct
0.0000 0.0000 0.0000 Tl
0.5000 0.5000 0.5000 Hg
0.2474 0.2474 0.2474 Pb
0.7526 0.7526 0.7526 Pb
```

=====

BeAgTeO4 | GGA-PBE | relaxed

* space-group type: I-4
* electronic total energy: -0.1955 Ha/atom

```
BeAgTeO4
1.0
-2.6263 2.6263 3.7645
2.6263 -2.6263 3.7645
2.6263 2.6263 -3.7645
Be Ag Te O
1 1 1 4
Direct
0.0000 0.0000 0.0000 Be
0.7500 0.2500 0.5000 Ag
0.2500 0.7500 0.5000 Te
0.1006 0.7301 0.0658 O
0.2699 0.3357 0.3705 O
0.6643 0.0348 0.9342 O
0.9652 0.8994 0.6295 O
```

=====

La8Sm6Pb | GGA-PBE | relaxed

* energy relative to the elements: 0.0402 eV/atom
* space-group type: P-3

```
La8Sm6Pb
1.0
9.4318 0.0000 0.0000
-4.7159 8.1681 0.0000
0.0000 0.0000 6.8357
La Sm Pb
8 6 1
Direct
0.0460 0.7692 0.1722 La
0.2308 0.2768 0.1722 La
0.2768 0.0460 0.8278 La
0.3333 0.6667 0.1205 La
0.6667 0.3333 0.8795 La
0.7232 0.9540 0.1722 La
0.7692 0.7232 0.8278 La
0.9540 0.2308 0.8278 La
0.0967 0.6551 0.6543 Sm
0.3449 0.4416 0.6543 Sm
0.4416 0.0967 0.3457 Sm
0.5584 0.9033 0.6543 Sm
0.6551 0.5584 0.3457 Sm
0.9033 0.3449 0.3457 Sm
0.0000 0.0000 0.5000 Pb
```

=====

Ac2SmPu | GGA-PBE | relaxed

* energy relative to the elements: 0.1587 eV/atom
* space-group type: P4/mmm
* offset from the most stable computed form: 0 meV per atom

```
Ac2SmPu
1.0
3.7959 0.0000 0.0000
0.0000 3.7959 0.0000
0.0000 0.0000 10.4433
Ac Sm Pu
2 1 1
Direct
0.0000 0.0000 0.2447 Ac
0.0000 0.0000 0.7553 Ac
0.5000 0.5000 0.5000 Sm
0.5000 0.5000 0.0000 Pu
```

=====

Tb3Ru2Pb | GGA-PBE | relaxed

* energy relative to the elements: -0.3990 eV/atom
* space-group type: P4/mmm

```
Tb3Ru2Pb
1.0
3.4305 0.0000 0.0000
0.0000 3.4305 0.0000
0.0000 0.0000 11.7462
Tb Ru Pb
3 2 1
Direct
0.0000 0.0000 0.0000 Tb
0.0000 0.0000 0.2877 Tb
0.0000 0.0000 0.7123 Tb
0.5000 0.5000 0.1495 Ru
0.5000 0.5000 0.8505 Ru
0.5000 0.5000 0.5000 Pb
```

=====

Ca3Mg3Cu | GGA-PBE | relaxed

* energy relative to the elements: 0.0408 eV/atom
* space-group type: P2_1/m
* offset from the most stable computed form: 78 meV per atom

```
Ca3Mg3Cu
1.0
9.2315 0.0000 0.0000
0.0000 5.2336 0.0000
-4.6076 0.0000 8.0088
Ca Mg Cu
6 6 2
Direct
0.0386 0.2500 0.4029 Ca
0.1356 0.7500 0.0396 Ca
0.4036 0.7500 0.8647 Ca
0.5964 0.2500 0.1353 Ca
0.8644 0.2500 0.9604 Ca
0.9614 0.7500 0.5971 Ca
0.2773 0.7500 0.4489 Mg
0.3285 0.2500 0.2771 Mg
0.4481 0.2500 0.6714 Mg
0.5519 0.7500 0.3286 Mg
0.6715 0.7500 0.7229 Mg
0.7227 0.2500 0.5511 Mg
0.1666 0.2500 0.8332 Cu
0.8334 0.7500 0.1668 Cu
```

=====

V2GaGe2 | GGA-PBE | relaxed

* energy relative to the elements: -0.1125 eV/atom
* space-group type: P4/mbm
* offset from the most stable computed form: 0 meV per atom

```
V2GaGe2
1.0
6.6317 0.0000 0.0000
0.0000 6.6317 0.0000
0.0000 0.0000 3.4775
V Ga Ge
4 2 4
Direct
0.1532 0.3468 0.0000 V
0.3468 0.8468 0.0000 V
0.6532 0.1532 0.0000 V
0.8468 0.6532 0.0000 V
0.0000 0.0000 0.0000 Ga
0.5000 0.5000 0.0000 Ga
0.1458 0.6458 0.5000 Ge
0.3542 0.1458 0.5000 Ge
0.6458 0.8542 0.5000 Ge
0.8542 0.3542 0.5000 Ge
```

=====

AsPBrO2 | GGA-PBE | relaxed

* space-group type: P4/mmm
* offset from the most stable computed form: 0 meV per atom

```
AsPBrO2
1.0
3.7168 0.0000 0.0000
0.0000 3.7168 0.0000
0.0000 0.0000 5.3914
As P Br O
1 1 1 2
Direct
0.0000 0.0000 0.0000 As
0.0000 0.0000 0.5000 P
0.5000 0.5000 0.5000 Br
0.0000 0.5000 0.0000 O
0.5000 0.0000 0.0000 O
```

=====

Nd2Al4SnPt3 | GGA-PBE | relaxed

* energy relative to the elements: -0.9552 eV/atom
* space-group type: P-4m2

```
Nd2Al4SnPt3
1.0
4.3299 0.0000 0.0000
0.0000 4.3299 0.0000
0.0000 0.0000 10.7221
Nd Al Sn Pt
2 4 1 3
Direct
0.0000 0.5000 0.2407 Nd
0.5000 0.0000 0.7593 Nd
0.0000 0.0000 0.0000 Al
0.0000 0.5000 0.6500 Al
0.5000 0.0000 0.3500 Al
0.5000 0.5000 0.0000 Al
0.0000 0.0000 0.5000 Sn
0.0000 0.5000 0.8767 Pt
0.5000 0.0000 0.1233 Pt
0.5000 0.5000 0.5000 Pt
```

=====

Li2Ho2Au3 | GGA-PBE | relaxed

* energy relative to the elements: -0.6329 eV/atom
* space-group type: Cmmm

```
Li2Ho2Au3
1.0
1.7806 -11.6819 0.0000
1.7806 11.6819 0.0000
0.0000 0.0000 3.4547
Li Ho Au
2 2 3
Direct
0.2094 0.7906 0.0000 Li
0.7906 0.2094 0.0000 Li
0.0791 0.9209 0.0000 Ho
0.9209 0.0791 0.0000 Ho
0.3451 0.6549 0.5000 Au
0.5000 0.5000 0.5000 Au
0.6549 0.3451 0.5000 Au
```

=====

TlNi2Se | GGA-PBE | relaxed

* space-group type: Cm
* offset from the most stable computed form: 0 meV per atom

```
TlNi2Se
1.0
3.9155 -1.6860 0.0000
3.9155 1.6860 0.0000
-1.1715 0.0000 5.9560
Tl Ni Se
1 2 1
Direct
0.0000 0.0000 0.0000 Tl
0.2363 0.2363 0.7239 Ni
0.5090 0.5090 0.5694 Ni
0.7910 0.7910 0.4755 Se
```

=====

CoAs2Br | GGA-PBE | relaxed

* space-group type: R3m
* offset from the most stable computed form: 241 meV per atom

```
CoAs2Br
1.0
1.7859 1.0311 8.6148
-1.7859 1.0311 8.6148
0.0000 -2.0622 8.6148
Co As Br
1 2 1
Direct
0.0000 0.0000 0.0000 Co
0.2612 0.2612 0.2612 As
0.5376 0.5376 0.5376 As
0.7168 0.7168 0.7168 Br
```

=====

Nd4BiPbO | GGA-PBE | relaxed

* space-group type: Cmcm
* electronic total energy: -0.2114 Ha/atom

```
Nd4BiPbO
1.0
3.3364 -9.0739 0.0000
3.3364 9.0739 0.0000
0.0000 0.0000 6.6220
Nd Bi Pb O
8 2 2 2
Direct
0.0000 0.5000 0.0000 Nd
0.0000 0.5000 0.5000 Nd
0.0679 0.9321 0.7500 Nd
0.4201 0.5799 0.7500 Nd
0.5000 0.0000 0.0000 Nd
0.5000 0.0000 0.5000 Nd
0.5799 0.4201 0.2500 Nd
0.9321 0.0679 0.2500 Nd
0.3905 0.6095 0.2500 Bi
0.6095 0.3905 0.7500 Bi
0.1111 0.8889 0.2500 Pb
0.8889 0.1111 0.7500 Pb
0.2907 0.7093 0.7500 O
0.7093 0.2907 0.2500 O
```

=====

La5Cu2Pb5 | GGA-PBE | relaxed

* energy relative to the elements: -0.4909 eV/atom
* space-group type: C2/m

```
La5Cu2Pb5
1.0
8.4266 -2.3553 0.0000
8.4266 2.3553 0.0000
-7.6226 0.0000 9.0648
La Cu Pb
5 2 5
Direct
0.0000 0.0000 0.0000 La
0.1107 0.1107 0.4189 La
0.1941 0.1941 0.8233 La
0.8059 0.8059 0.1767 La
0.8893 0.8893 0.5811 La
0.3585 0.3585 0.7515 Cu
0.6415 0.6415 0.2485 Cu
0.2497 0.2497 0.3136 Pb
0.4389 0.4389 0.1446 Pb
0.5000 0.5000 0.5000 Pb
0.5611 0.5611 0.8554 Pb
0.7503 0.7503 0.6864 Pb
```

=====

NbFe2CuSb | GGA-PBE | relaxed

* space-group type: P4/mmm
* electronic total energy: -0.2273 Ha/atom

```
NbFe2CuSb
1.0
4.3931 0.0000 0.0000
0.0000 4.3931 0.0000
0.0000 0.0000 4.7379
Nb Fe Cu Sb
1 2 1 1
Direct
0.0000 0.0000 0.0000 Nb
0.0000 0.5000 0.5000 Fe
0.5000 0.0000 0.5000 Fe
0.0000 0.0000 0.5000 Cu
0.5000 0.5000 0.0000 Sb
```

=====

no.,M_tot (Bohr magnetons per cell)
1,0.00
2,0.67
3,0.00
4,6.40
5,0.00
6,0.00
7,0.00
8,0.00
9,0.00
10,0.00
11,0.00
12,2.12
13,2.32
14,0.00
15,5.62